(1)
{
  "formula": "SrGdSn",
  "functional": "GGA-PBE",
  "state": "relaxed",
  "lattice_angstrom": [[-2.5166, -3.2206, 0.9760], [3.7709, -1.9599, 3.2560], [-3.6524, 3.4271, 1.8913]],
  "species": ["Sn", "Sr", "Gd"],
  "frac_coords": [[0.7943, 0.6667, 0.3333], [0.3443, 0.3333, 0.6667], [0.8614, 0.0000, 0.0000]],
  "sg": "P3m1",
  "delta_e_f_mev_per_atom": -332,
  "crystal_system": "trigonal",
  "e_above_lowest_polymorph_mev_per_atom": 73
}

***

(2)
{
  "formula": "Zr4BrCl",
  "functional": "GGA-PBE",
  "state": "relaxed",
  "lattice_angstrom": [[0.0000, 4.2038, 4.2038], [4.2038, 0.0000, 4.2038], [4.2038, 4.2038, 0.0000]],
  "species": ["Zr", "Br", "Zr", "Zr", "Cl", "Zr"],
  "frac_coords": [[0.3751, 0.3751, 0.3751], [0.7500, 0.7500, 0.7500], [0.8748, 0.3751, 0.3751], [0.3751, 0.3751, 0.8748], [0.0000, 0.0000, 0.0000], [0.3751, 0.8748, 0.3751]],
  "sg": "F-43m",
  "crystal_system": "cubic",
  "e_form_raw_mev_per_atom": 503
}

***

(3)
{
  "formula": "LiHo3Ga2",
  "functional": "GGA-PBE",
  "state": "relaxed",
  "lattice_angstrom": [[-2.5365, 5.1308, -1.8400], [-4.8112, -0.9470, 3.9916], [6.0813, 1.3730, 5.2674]],
  "species": ["Li", "Ga", "Ho", "Ga", "Ho", "Li", "Ho", "Ga", "Ho", "Ga", "Ho", "Ho"],
  "frac_coords": [[0.7918, 0.7500, 0.0000], [0.2680, 0.9801, 0.7074], [0.9120, 0.3590, 0.6294], [0.5606, 0.5199, 0.2926], [0.7174, 0.8590, 0.6294], [0.2082, 0.2500, 0.0000], [0.2826, 0.1410, 0.3706], [0.7320, 0.0199, 0.2926], [0.0880, 0.6410, 0.3706], [0.4394, 0.4801, 0.7074], [0.3051, 0.7500, 0.0000], [0.6949, 0.2500, 0.0000]],
  "sg": "C2/c",
  "delta_e_f_mev_per_atom": -310,
  "crystal_system": "monoclinic",
  "e_above_lowest_polymorph_mev_per_atom": 106
}

***

(4)
{
  "formula": "NbP3Au",
  "functional": "GGA-PBE",
  "state": "relaxed",
  "lattice_angstrom": [[4.7012, 0.0000, 0.0000], [0.0000, 4.7012, 0.0000], [0.0000, 0.0000, 4.7012]],
  "species": ["P", "P", "P", "Au", "Nb"],
  "frac_coords": [[0.0000, 0.0000, 0.5000], [0.0000, 0.5000, 0.0000], [0.5000, 0.0000, 0.0000], [0.0000, 0.0000, 0.0000], [0.5000, 0.5000, 0.5000]],
  "sg": "Pm-3m",
  "delta_e_f_mev_per_atom": 1269,
  "crystal_system": "cubic",
  "e_above_lowest_polymorph_mev_per_atom": 682
}

***

(5)
{
  "formula": "Li2MgAl2Cu2",
  "functional": "GGA-PBE",
  "state": "relaxed",
  "lattice_angstrom": [[4.2909, 0.0000, 0.0000], [-2.1455, 3.7363, -1.6401], [0.0000, -2.8278, 8.7058]],
  "species": ["Mg", "Li", "Li", "Al", "Al", "Cu", "Cu"],
  "frac_coords": [[0.0000, 0.0000, 0.5000], [0.0934, 0.1867, 0.2224], [0.9066, 0.8133, 0.7776], [0.6220, 0.2441, 0.8316], [0.3780, 0.7559, 0.1684], [0.3070, 0.6141, 0.8603], [0.6930, 0.3859, 0.1397]],
  "sg": "C2/m",
  "delta_e_f_mev_per_atom": -76,
  "crystal_system": "monoclinic"
}

***

(6)
{
  "formula": "Sm3Dy3ScSe8",
  "functional": "GGA-PBE",
  "state": "relaxed",
  "lattice_angstrom": [[8.1690, 0.0000, 0.0001], [-4.0846, 7.0742, -0.0249], [0.0001, -4.6929, 6.7389]],
  "species": ["Dy", "Se", "Se", "Dy", "Dy", "Se", "Sm", "Se", "Se", "Se", "Se", "Sm", "Se", "Sc", "Sm"],
  "frac_coords": [[0.0000, 0.5000, 0.5000], [0.2528, 0.5056, 0.2584], [0.2436, 0.9945, 0.7381], [0.5000, 0.0000, 0.5000], [0.5000, 0.5000, 0.5000], [0.2491, 0.0055, 0.2619], [0.5000, 0.5000, 0.0000], [0.7564, 0.0055, 0.2619], [0.7472, 0.4944, 0.7416], [0.2436, 0.4872, 0.7381], [0.7509, 0.9945, 0.7381], [0.0000, 0.0000, 0.0000], [0.7564, 0.5128, 0.2619], [0.0000, 0.0000, 0.5000], [0.0000, 0.5000, 0.0000]],
  "sg": "R-3m",
  "crystal_system": "trigonal",
  "e_form_raw_mev_per_atom": -1825
}

***

| no. | magnetic moment (μB per formula unit) | raw total energy (eV/atom) |
| --- | --- | --- |
| 1 | 7.714 | -6.92 |
| 2 | 0.000 | -5.78 |
| 3 | 0.000 | -3.93 |
| 4 | 0.000 | -4.65 |
| 5 | 0.000 | -3.09 |
| 6 | 0.000 | -5.97 |